Below is a geometry-optimized AlVSi2O6 structure, with properties calculated at the PBE with a Hubbard U level.

```
AlVSi2O6
1.0
5.391 0.249 0.259
2.051 7.003 0.300
2.051 0.040 7.009
Al O Si V
2 12 4 2
Direct
0.750 0.801 0.199 Al
0.250 0.199 0.801 Al
0.572 0.202 0.627 O
0.828 0.986 0.305 O
0.172 0.014 0.695 O
0.328 0.305 0.986 O
0.672 0.695 0.014 O
0.928 0.373 0.798 O
0.928 0.313 0.325 O
0.572 0.675 0.687 O
0.072 0.627 0.202 O
0.428 0.798 0.373 O
0.072 0.687 0.675 O
0.428 0.325 0.313 O
0.311 0.794 0.610 Si
0.189 0.390 0.206 Si
0.811 0.610 0.794 Si
0.689 0.206 0.390 Si
0.750 0.134 0.866 V
0.250 0.866 0.134 V
```

## Properties
magnetization = 3.40 μB per formula unit
final energy = -151.10 eV per cell